Record 1
A plane-wave DFT calculation with PBE was carried out for an optimized crystal structure of LaScTl.

Unit cell a=4.7295 b=4.7295 c=8.0328 alpha=90.00 beta=90.00 gamma=90.00
Last column: nearest neighbours and their distance in Å.
Fractional positions:
1 La 0.2500 0.2500 0.1524  5 Tl 3.33-3.46, 4 Sc 3.66
2 La 0.7500 0.7500 0.8476  5 Tl 3.33-3.46, 4 Sc 3.66
3 Sc 0.2500 0.7500 0.5000  4 Tl 3.04, 4 Sc 3.34
4 Sc 0.7500 0.2500 0.5000  4 Tl 3.04, 4 Sc 3.34
5 Tl 0.2500 0.2500 0.7381  4 Sc 3.04, 1 La 3.33
6 Tl 0.7500 0.7500 0.2619  4 Sc 3.04, 1 La 3.33

Values from the calculation:
The electronic total energy comes out at -14.5 eV/f.u. As for the density of states at the Fermi level: 0.909 states/eV per atom. The formation energy is -289 meV per atom. Its offset from the most stable computed form is 0 meV per atom. The space group is P4/nmm.

***

Record 2
A plane-wave DFT calculation with PBE was carried out for an optimized crystal structure of Ce12Si5H2.

Unit cell a=9.2450 b=9.2450 c=8.3655 alpha=102.84 beta=102.84 gamma=43.67
Last column: nearest neighbours and their distance in Å.
Fractional positions:
1 Ce 0.0028 0.0028 0.3397  2 H 2.40
2 Ce 0.0359 0.6281 0.4129  1 Ce 2.80, 1 H 2.86, 3 Si 2.94-3.01
3 Ce 0.0566 0.6405 0.9258  1 Ce 2.86, 4 Si 2.90-3.03
4 Ce 0.3595 0.9434 0.0741  1 Ce 2.86, 4 Si 2.90-3.03
5 Ce 0.3719 0.9641 0.5871  1 Ce 2.80, 1 H 2.86, 3 Si 2.94-3.01
6 Ce 0.4935 0.4935 0.2616  2 H 2.45
7 Ce 0.5065 0.5065 0.7384  2 H 2.45
8 Ce 0.6281 0.0359 0.4129  1 Ce 2.80, 1 H 2.86, 3 Si 2.94-3.01
9 Ce 0.6405 0.0566 0.9258  1 Ce 2.86, 4 Si 2.90-3.03
10 Ce 0.9434 0.3595 0.0741  1 Ce 2.86, 4 Si 2.90-3.03
11 Ce 0.9641 0.3719 0.5871  1 Ce 2.80, 1 H 2.86, 3 Si 2.94-3.01
12 Ce 0.9972 0.9972 0.6603  2 H 2.40
13 Si 0.0000 0.0000 0.0000  6 Ce 2.83-2.90
14 Si 0.3119 0.3119 0.1533  7 Ce 2.94-3.03
15 Si 0.3277 0.3277 0.6637  7 Ce 2.93-3.01
16 Si 0.6723 0.6723 0.3363  7 Ce 2.93-3.01
17 Si 0.6881 0.6881 0.8467  7 Ce 2.94-3.03
18 H 0.2887 0.7113 0.5000  4 Ce 2.40-2.45
19 H 0.7113 0.2887 0.5000  4 Ce 2.40-2.45

Values from the calculation:
The electronic total energy comes out at -109.5 eV/f.u. As for the density of states at the Fermi level: 2.752 states/eV per atom. The space group is C2/m.